The following is a DFT calculation (PBE+U) of an optimized crystal structure of LaNi3Se4O12. Values from VASP.

The structure in Quantum ESPRESSO input format:
```
&SYSTEM
  ibrav = 0, nat = 20, ntyp = 4
/
ATOMIC_SPECIES
Ni 58.69 Ni.upf
O 16.00 O.upf
Se 78.96 Se.upf
La 138.91 La.upf
CELL_PARAMETERS angstrom
6.717 -0.090 -0.125
-1.706 6.498 -0.125
-1.706 -2.181 6.122
ATOMIC_POSITIONS angstrom
Ni 1.844 -1.300 3.489
Ni 3.167 2.687 -0.125
Ni -1.706 2.840 2.508
O 3.126 2.479 1.844
O 1.500 2.583 5.909
O 1.653 0.596 4.029
O -2.124 5.068 2.936
O 5.430 3.051 0.135
O 2.146 4.943 3.846
O 1.161 2.149 -0.036
O 0.180 3.265 2.936
O -0.975 0.954 2.027
O 1.806 -0.556 1.548
O 1.653 -1.779 5.738
O 4.281 2.608 4.325
Se 1.653 5.501 0.498
Se 1.653 2.114 2.936
Se 4.941 -0.458 2.936
Se -1.635 1.297 5.375
La 0.000 0.000 0.000
```

Calculated density   5.20 Mg/m³
N(E_F)   5.91 states/eV per cell
Final energy   -104.20 eV for the cell shown
Symmetry   R32 (155)